(1)
This record from the Alexandria database describes a relaxed Os5Pt4 crystal. The functional is PBE-GGA.

Values from the calculation:
ΔE_f	70.3	kJ/mol of formula units
E	-8.843	eV per atom

Geometry as CIF:
```
data_Os5Pt4
_chemical_formula_sum 'Os10 Pt8'
_cell_length_a 8.2876
_cell_length_b 8.2876
_cell_length_c 3.8909
_cell_angle_alpha 90.00
_cell_angle_beta 90.00
_cell_angle_gamma 90.00
_symmetry_space_group_name_H-M 'I 4/m m m'
_symmetry_Int_Tables_number 139
_symmetry_space_group_name_Hall '-I 4 2'
loop_
_atom_site_label
_atom_site_type_symbol
_atom_site_fract_x
_atom_site_fract_y
_atom_site_fract_z
Os1 Os 0.0000 0.0000 0.0000
Os2 Os 0.1610 0.1610 0.5000
Pt1 Pt 0.0000 0.3245 0.0000
```

=====

(2)
This record from the Alexandria database describes a relaxed HgW4Se8 crystal. The functional is PBE-GGA.

Values from the calculation:
formation energy from raw total energies	-0.295	eV per atom
E	-6.448	eV per atom

Geometry as CIF:
```
data_HgW4Se8
_chemical_formula_sum 'Hg2 W8 Se16'
_cell_length_a 16.7366
_cell_length_b 3.3629
_cell_length_c 12.2809
_cell_angle_alpha 90.00
_cell_angle_beta 107.85
_cell_angle_gamma 90.00
_symmetry_space_group_name_H-M 'C 1 2/m 1'
_symmetry_Int_Tables_number 12
_symmetry_space_group_name_Hall '-C 2y'
loop_
_atom_site_label
_atom_site_type_symbol
_atom_site_fract_x
_atom_site_fract_y
_atom_site_fract_z
Hg1 Hg 0.0000 0.0000 0.0000
W1 W 0.1991 0.0000 0.5378
W2 W 0.2038 0.5000 0.9096
Se1 Se 0.0786 0.0000 0.8447
Se2 Se 0.1430 0.5000 0.3776
Se3 Se 0.1635 0.5000 0.6738
Se4 Se 0.1863 0.5000 0.1055
```

=====

(3)
This record from the Alexandria database describes a relaxed Ti2MnV crystal. The functional is PBE-GGA.

Values from the calculation:
ΔE_f	-16.5	kJ/mol of formula units
energy relative to the lowest polymorph listed for this composition	0.08	eV per formula unit
E	-8.562	eV per atom

Geometry as CIF:
```
data_Ti2MnV
_chemical_formula_sum 'Ti8 Mn4 V4'
_cell_length_a 6.1205
_cell_length_b 6.1205
_cell_length_c 6.1205
_cell_angle_alpha 90.00
_cell_angle_beta 90.00
_cell_angle_gamma 90.00
_symmetry_space_group_name_H-M 'F m -3 m'
_symmetry_Int_Tables_number 225
_symmetry_space_group_name_Hall '-F 4 2 3'
loop_
_atom_site_label
_atom_site_type_symbol
_atom_site_fract_x
_atom_site_fract_y
_atom_site_fract_z
Ti1 Ti 0.2500 0.2500 0.2500
Mn1 Mn 0.0000 0.0000 0.0000
V1 V 0.0000 0.0000 0.5000
```

=====

(4)
This record from the Alexandria database describes a relaxed Pr12Dy5Pa3 crystal. The functional is PBE-GGA.

Values from the calculation:
ΔE_f	2123.3	kJ/mol of formula units
E	-4.342	eV per atom

Geometry as CIF:
```
data_Pr12Dy5Pa3
_chemical_formula_sum 'Pr96 Dy40 Pa24'
_cell_length_a 18.5336
_cell_length_b 18.5336
_cell_length_c 18.5336
_cell_angle_alpha 90.00
_cell_angle_beta 90.00
_cell_angle_gamma 90.00
_symmetry_space_group_name_H-M 'I a -3 d'
_symmetry_Int_Tables_number 230
_symmetry_space_group_name_Hall '-I 4bd 2c 3'
loop_
_atom_site_label
_atom_site_type_symbol
_atom_site_fract_x
_atom_site_fract_y
_atom_site_fract_z
Pr1 Pr 0.0161 0.0871 0.6480
Dy1 Dy 0.0000 0.0000 0.0000
Dy2 Dy 0.0000 0.2500 0.3750
Pa1 Pa 0.0000 0.2500 0.1250
```

=====

(5)
This record from the Alexandria database describes a relaxed NdZr2Ta crystal. The functional is PBE-GGA.

Values from the calculation:
ΔE_f	67.0	kJ/mol of formula units
energy relative to the lowest polymorph listed for this composition	0.00	eV per formula unit
E	-8.255	eV per atom

Geometry as CIF:
```
data_NdZr2Ta
_chemical_formula_sum 'Nd1 Zr2 Ta1'
_cell_length_a 3.5212
_cell_length_b 3.5212
_cell_length_c 7.8638
_cell_angle_alpha 90.00
_cell_angle_beta 90.00
_cell_angle_gamma 90.00
_symmetry_space_group_name_H-M 'P 4/m m m'
_symmetry_Int_Tables_number 123
_symmetry_space_group_name_Hall '-P 4 2'
loop_
_atom_site_label
_atom_site_type_symbol
_atom_site_fract_x
_atom_site_fract_y
_atom_site_fract_z
Nd1 Nd 0.0000 0.0000 0.0000
Zr1 Zr 0.5000 0.5000 0.2973
Ta1 Ta 0.0000 0.0000 0.5000
```

=====

(6)
This record from the Alexandria database describes a relaxed Cd2SeBr2 crystal. The functional is PBE-GGA.

Values from the calculation:
formation energy from raw total energies	-0.342	eV per atom
energy relative to the lowest polymorph listed for this composition	1.24	eV per formula unit
E	-2.074	eV per atom

Geometry as CIF:
```
data_Cd2SeBr2
_chemical_formula_sum 'Cd4 Se2 Br4'
_cell_length_a 7.8893
_cell_length_b 7.8893
_cell_length_c 5.0113
_cell_angle_alpha 90.00
_cell_angle_beta 90.00
_cell_angle_gamma 90.00
_symmetry_space_group_name_H-M 'P 4/m b m'
_symmetry_Int_Tables_number 127
_symmetry_space_group_name_Hall '-P 4 2ab'
loop_
_atom_site_label
_atom_site_type_symbol
_atom_site_fract_x
_atom_site_fract_y
_atom_site_fract_z
Cd1 Cd 0.2441 0.2559 0.0000
Se1 Se 0.0000 0.0000 0.0000
Br1 Br 0.1526 0.3474 0.5000
```

=====

(7)
This record from the Alexandria database describes a relaxed TmTlPb6 crystal. The functional is PBE-GGA.

Values from the calculation:
ΔE_f	-66.7	kJ/mol of formula units
E	-3.722	eV per atom

Geometry as CIF:
```
data_TmTlPb6
_chemical_formula_sum 'Tm1 Tl1 Pb6'
_cell_length_a 4.8855
_cell_length_b 4.8855
_cell_length_c 10.1265
_cell_angle_alpha 90.00
_cell_angle_beta 90.00
_cell_angle_gamma 90.00
_symmetry_space_group_name_H-M 'P 4/m m m'
_symmetry_Int_Tables_number 123
_symmetry_space_group_name_Hall '-P 4 2'
loop_
_atom_site_label
_atom_site_type_symbol
_atom_site_fract_x
_atom_site_fract_y
_atom_site_fract_z
Tm1 Tm 0.0000 0.0000 0.0000
Tl1 Tl 0.0000 0.0000 0.5000
Pb1 Pb 0.0000 0.5000 0.2435
Pb2 Pb 0.5000 0.5000 0.0000
Pb3 Pb 0.5000 0.5000 0.5000
```

=====

(8)
This record from the Alexandria database describes a relaxed BaBeTc2 crystal. The functional is PBE-GGA.

Values from the calculation:
ΔE_f	539.3	kJ/mol of formula units
E	-5.198	eV per atom

Geometry as CIF:
```
data_BaBeTc2
_chemical_formula_sum 'Ba2 Be2 Tc4'
_cell_length_a 4.1609
_cell_length_b 4.1609
_cell_length_c 8.4681
_cell_angle_alpha 90.00
_cell_angle_beta 90.00
_cell_angle_gamma 90.00
_symmetry_space_group_name_H-M 'I 4/m m m'
_symmetry_Int_Tables_number 139
_symmetry_space_group_name_Hall '-I 4 2'
loop_
_atom_site_label
_atom_site_type_symbol
_atom_site_fract_x
_atom_site_fract_y
_atom_site_fract_z
Ba1 Ba 0.0000 0.0000 0.0000
Be1 Be 0.0000 0.0000 0.5000
Tc1 Tc 0.0000 0.5000 0.2500
```

=====

(9)
This record from the Alexandria database describes a relaxed KRbBaO2 crystal. The functional is PBE-GGA.

Values from the calculation:
formation energy from raw total energies	-0.264	eV per atom
E	-3.044	eV per atom

Geometry as CIF:
```
data_KRbBaO2
_chemical_formula_sum 'K1 Rb1 Ba1 O2'
_cell_length_a 5.3212
_cell_length_b 5.3212
_cell_length_c 5.0784
_cell_angle_alpha 90.00
_cell_angle_beta 90.00
_cell_angle_gamma 90.00
_symmetry_space_group_name_H-M 'P 4/m m m'
_symmetry_Int_Tables_number 123
_symmetry_space_group_name_Hall '-P 4 2'
loop_
_atom_site_label
_atom_site_type_symbol
_atom_site_fract_x
_atom_site_fract_y
_atom_site_fract_z
K1 K 0.0000 0.0000 0.0000
Rb1 Rb 0.0000 0.0000 0.5000
Ba1 Ba 0.5000 0.5000 0.0000
O1 O 0.0000 0.5000 0.5000
```

=====

(10)
This record from the Alexandria database describes a relaxed NaTl5Hg2Pb crystal. The functional is PBE-GGA.

Values from the calculation:
ΔE_f	-38.2	kJ/mol of formula units
E	-1.984	eV per atom

Geometry as CIF:
```
data_NaTl5Hg2Pb
_chemical_formula_sum 'Na4 Tl20 Hg8 Pb4'
_cell_length_a 3.7788
_cell_length_b 16.7105
_cell_length_c 16.7539
_cell_angle_alpha 90.00
_cell_angle_beta 90.00
_cell_angle_gamma 90.00
_symmetry_space_group_name_H-M 'C m c 21'
_symmetry_Int_Tables_number 36
_symmetry_space_group_name_Hall 'C 2c -2'
loop_
_atom_site_label
_atom_site_type_symbol
_atom_site_fract_x
_atom_site_fract_y
_atom_site_fract_z
Na1 Na 0.0000 0.0610 0.0000
Tl1 Tl 0.0000 0.0694 0.6713
Tl2 Tl 0.0000 0.1035 0.3512
Tl3 Tl 0.0000 0.2207 0.8643
Tl4 Tl 0.0000 0.2628 0.1974
Tl5 Tl 0.0000 0.4035 0.6755
Hg1 Hg 0.0000 0.4039 0.0135
Hg2 Hg 0.0000 0.4386 0.3374
Pb1 Pb 0.0000 0.2582 0.5292
```